1.
VASP calculation (PBE) on a relaxed La4PCBr2 crystal.

Cell and atoms, written as POSCAR:
```
La4PCBr2
1.0
7.1414 0.0000 0.0000
0.0000 4.0528 0.0000
-2.3211 0.0000 7.5499
La P C Br
4 1 1 2
Cartesian
1.0485 0.0000 1.4269
-0.1257 2.0264 6.0618
4.9461 2.0264 1.4881
3.7719 0.0000 6.1230
3.5707 0.0000 0.0000
0.0000 2.0264 0.0000
-1.1605 0.0000 3.7749
2.4102 2.0264 3.7749
```

Summary:
electronic total energy	-5.95	eV per atom
ρ	5.763	g/cm3

2.
VASP calculation (PBE) on a relaxed Tl3PC crystal.

Cell and atoms, written as POSCAR:
```
Tl3PC
1.0
4.8736 0.0000 0.0000
0.0000 4.8736 0.0000
0.0000 0.0000 4.8736
Tl P C
3 1 1
Cartesian
0.0000 0.0000 2.4368
0.0000 2.4368 0.0000
2.4368 0.0000 0.0000
2.4368 2.4368 2.4368
0.0000 0.0000 0.0000
```

Summary:
offset from the most stable computed form	0.0	meV per atom
electronic total energy	-3.27	eV per atom
ρ	9.412	g/cm3

3.
VASP calculation (PBE) on a relaxed Ba2SrTl12Cd3 crystal.

Cell and atoms, written as POSCAR:
```
Ba2SrTl12Cd3
1.0
3.8123 2.2010 12.5396
-3.8123 2.2010 12.5396
0.0000 -4.4020 12.5396
Ba Sr Tl Cd
2 1 12 3
Cartesian
0.0000 0.0000 4.9875
0.0000 0.0000 32.6315
0.0000 0.0000 18.8095
-2.1520 -1.2424 16.6382
0.0000 -2.5225 10.7629
-2.1846 1.2613 10.7629
-2.1846 -1.2613 26.8560
0.0000 -2.4849 20.9807
-2.1520 1.2424 20.9807
2.1520 -1.2424 16.6383
0.0000 2.4849 16.6383
2.1846 1.2613 10.7629
2.1846 -1.2613 26.8560
0.0000 2.5225 26.8560
2.1520 1.2424 20.9807
-1.9061 -1.1005 12.5396
-1.9061 1.1005 25.0793
0.0000 2.2010 12.5396
```

Summary:
electronic total energy	-2.07	eV per atom
ρ	8.291	g/cm3

4.
VASP calculation (PBE) on a relaxed ScBe crystal.

Cell and atoms, written as POSCAR:
```
ScBe
1.0
4.4748 0.0000 0.0000
-2.2374 3.8753 0.0000
0.0000 0.0000 5.2449
Sc Be
2 2
Cartesian
0.0000 2.5835 1.3112
2.2374 1.2918 3.9336
0.0000 2.5835 3.9336
2.2374 1.2918 1.3112
```

Summary:
electronic total energy	-4.07	eV per atom
ρ	1.971	g/cm3

5.
VASP calculation (PBE) on a relaxed MgP crystal.

Cell and atoms, written as POSCAR:
```
MgP
1.0
6.5092 0.0000 0.0000
0.0000 6.5092 0.0000
0.0000 0.0000 6.5092
Mg P
8 8
Cartesian
0.8137 0.8137 0.8137
0.8137 4.0683 4.0683
2.4410 2.4410 5.6956
2.4410 5.6956 2.4410
4.0683 0.8137 4.0683
4.0683 4.0683 0.8137
5.6956 2.4410 2.4410
5.6956 5.6956 5.6956
0.8137 0.8137 4.0683
0.8137 4.0683 0.8137
2.4410 2.4410 2.4410
2.4410 5.6956 5.6956
4.0683 0.8137 0.8137
4.0683 4.0683 4.0683
5.6956 2.4410 5.6956
5.6956 5.6956 2.4410
```

Summary:
offset from the most stable computed form	736.9	meV per atom
electronic total energy	-3.28	eV per atom
ρ	2.663	g/cm3

6.
VASP calculation (PBE) on a relaxed Pm3Pr4Ag4 crystal.

Cell and atoms, written as POSCAR:
```
Pm3Pr4Ag4
1.0
-1.8760 4.7695 9.1589
1.8760 -4.7695 9.1589
1.8760 4.7695 -9.1589
Pm Pr Ag
3 4 4
Cartesian
0.0000 0.0000 0.0000
1.8760 0.0000 7.2977
0.0000 4.7695 1.8612
1.8760 1.7836 -2.9347
1.8760 1.7836 2.9347
0.0000 2.9860 6.2242
0.0000 2.9860 12.0936
0.0000 0.0000 4.7496
1.8760 2.9367 0.0000
0.0000 1.8329 9.1589
0.0000 0.0000 13.5683
```

Summary:
electronic total energy	-4.17	eV per atom
ρ	7.244	g/cm3

7.
VASP calculation (PBE) on a relaxed PuU2Sn crystal.

Cell and atoms, written as POSCAR:
```
PuU2Sn
1.0
4.4088 0.0000 0.0000
0.0000 4.4088 0.0000
0.0000 0.0000 4.6747
Pu U Sn
1 2 1
Cartesian
0.0000 0.0000 0.0000
0.0000 2.2044 2.3373
2.2044 0.0000 2.3373
2.2044 2.2044 0.0000
```

Summary:
electronic total energy	-10.20	eV per atom
ρ	15.328	g/cm3

8.
VASP calculation (PBE) on a relaxed Cu10Ni2Pt crystal.

Cell and atoms, written as POSCAR:
```
Cu10Ni2Pt
1.0
0.0000 5.7866 5.8953
2.3673 0.0000 5.8953
2.3673 5.7866 0.0000
Cu Ni Pt
10 2 1
Cartesian
1.1837 0.0000 2.9476
2.3673 1.2349 4.6471
2.3673 3.7497 3.8618
2.3673 1.2349 7.1435
2.3673 3.7497 7.9288
1.1837 5.7866 2.9476
2.3673 7.8234 3.8618
2.3673 10.3382 4.6471
2.3673 7.8234 7.9288
2.3673 10.3382 7.1435
1.1837 2.8933 0.0000
1.1837 2.8933 5.8953
2.3673 5.7866 5.8953
```

Summary:
electronic total energy	-4.40	eV per atom
ρ	9.746	g/cm3

9.
VASP calculation (PBE) on a relaxed K2InAgI5 crystal.

Cell and atoms, written as POSCAR:
```
K2InAgI5
1.0
2.6256 -10.3717 0.0000
2.6256 10.3717 0.0000
0.0000 0.0000 14.0982
K In Ag I
4 2 2 10
Cartesian
2.6256 8.0449 7.0491
2.6256 7.8988 2.1179
2.6256 -7.8988 9.1670
2.6256 -8.0449 0.0000
2.6256 1.7679 3.8596
2.6256 -1.7679 10.9087
2.6256 5.1187 13.3135
2.6256 -5.1187 6.2644
2.6256 9.4471 11.9270
2.6256 4.1508 2.0985
2.6256 4.0207 6.5072
2.6256 2.8680 11.6487
2.6256 0.0272 1.3438
2.6256 -0.0272 8.3929
2.6256 -2.8680 4.5996
2.6256 -4.0207 13.5563
2.6256 -4.1508 9.1476
2.6256 -9.4471 4.8779
```

Summary:
electronic total energy	-2.55	eV per atom
ρ	4.046	g/cm3

10.
VASP calculation (PBE) on a relaxed ZrMn2AsH crystal.

Cell and atoms, written as POSCAR:
```
ZrMn2AsH
1.0
3.8566 0.0000 0.0000
0.0000 3.8566 0.0000
0.0000 0.0000 4.3407
Zr Mn As H
1 2 1 1
Cartesian
0.0000 0.0000 0.0000
0.0000 1.9283 2.1703
1.9283 0.0000 2.1703
1.9283 1.9283 0.0000
0.0000 0.0000 2.1703
```

Summary:
electronic total energy	-7.22	eV per atom
ρ	7.125	g/cm3

11.
VASP calculation (PBE) on a relaxed Ba3AgSe2O8 crystal.

Cell and atoms, written as POSCAR:
```
Ba3AgSe2O8
1.0
5.9934 0.0000 0.0000
-2.9967 5.1904 0.0000
0.0000 0.0000 7.9072
Ba Ag Se O
3 1 2 8
Cartesian
0.0000 0.0000 0.0000
0.0000 3.4603 5.0704
2.9967 1.7301 2.8367
0.0000 0.0000 3.9536
0.0000 3.4603 1.5412
2.9967 1.7301 6.3660
0.0000 1.7977 2.3869
-1.4399 4.2916 2.3869
0.0000 3.4603 7.5641
1.5568 0.8988 5.5203
1.4399 4.2916 2.3869
2.9967 1.7301 0.3430
4.4366 0.8988 5.5203
2.9967 3.3928 5.5203
```

Summary:
electronic total energy	-5.41	eV per atom
ρ	5.440	g/cm3

12.
VASP calculation (PBE) on a relaxed Re2TcPt crystal.

Cell and atoms, written as POSCAR:
```
Re2TcPt
1.0
2.7446 0.0000 0.0000
0.0000 3.9532 0.0000
0.0000 0.0000 5.5388
Re Tc Pt
2 1 1
Cartesian
0.0000 0.0000 1.2706
0.0000 0.0000 4.2683
1.3723 1.9766 0.0000
1.3723 1.9766 2.7694
```

Summary:
offset from the most stable computed form	32.7	meV per atom
electronic total energy	-10.38	eV per atom
ρ	18.389	g/cm3